Arrangement one

A plane-wave DFT calculation with PBE was carried out for an optimized crystal structure of Hf4Sn2Au.

Geometry as CIF:
```
data_Hf4Sn2Au
_chemical_formula_sum 'Hf8 Sn4 Au2'
_cell_length_a 14.847
_cell_length_b 3.235
_cell_length_c 7.541
_cell_angle_alpha 90.00
_cell_angle_beta 119.39
_cell_angle_gamma 90.00
_symmetry_space_group_name_H-M 'C 1 2/m 1'
_symmetry_Int_Tables_number 12
_symmetry_space_group_name_Hall '-C 2y'
loop_
_atom_site_label
_atom_site_type_symbol
_atom_site_fract_x
_atom_site_fract_y
_atom_site_fract_z
Hf1 Hf 0.083 0.000 0.218
Hf2 Hf 0.116 0.500 0.888
Sn1 Sn 0.219 0.000 0.684
Au1 Au 0.000 0.000 0.500
```

Arrangement two

A plane-wave DFT calculation with PBE was carried out for an optimized crystal structure of Hf4Sn2Au.

Geometry as CIF:
```
data_Hf4Sn2Au
_chemical_formula_sum 'Hf8 Sn4 Au2'
_cell_length_a 4.970
_cell_length_b 4.970
_cell_length_c 15.179
_cell_angle_alpha 90.00
_cell_angle_beta 90.00
_cell_angle_gamma 90.00
_symmetry_space_group_name_H-M 'I 4/m m m'
_symmetry_Int_Tables_number 139
_symmetry_space_group_name_Hall '-I 4 2'
loop_
_atom_site_label
_atom_site_type_symbol
_atom_site_fract_x
_atom_site_fract_y
_atom_site_fract_z
Hf1 Hf 0.000 0.000 0.174
Hf2 Hf 0.000 0.500 0.000
Sn1 Sn 0.000 0.000 0.364
Au1 Au 0.000 0.000 0.000
```

If you had to bet on the most stable structure above, which would it be? Bet on arrangement one.